Material: RbAgAuO
Method: DFT, PBE
State: relaxed

a b c (Å): 3.1463 3.9861 7.3028
angles (deg): 105.84 90.00 90.00
Last column: magnetic moment on the atom in μB.
Sites, in units of the cell vectors:
1 O 0.0000 0.6628 0.3255  0.33
2 Rb 0.5000 0.2540 0.5080  0.00
3 Au 0.0000 0.9599 0.9197  0.02
4 Ag 0.5000 0.5537 0.1075  0.14

Calculated values
As for the volume: 22.03 A^3/atom. For the size of the total moment, the calculation gives 0.6 μB per cell. The crystal system is orthorhombic. The electronic total energy comes out at -3.269 eV/atom.

***

Material: NdSbAu
Method: DFT, PBE
State: relaxed

a b c (Å): 4.4470 4.4470 8.2583
angles (deg): 90.00 90.00 90.00
Sites, in units of the cell vectors:
1 Au 0.3365 0.8365 0.1690
2 Au 0.8365 0.3365 0.8310
3 Sb 0.8364 0.8364 0.5000
4 Sb 0.3364 0.3364 0.5000
5 Nd 0.3365 0.8365 0.8073
6 Nd 0.8365 0.3365 0.1927

Calculated values
As for the volume: 27.22 A^3/atom. For the size of the total moment, the calculation gives 0.0 μB per cell. The crystal system is tetragonal. The electronic total energy comes out at -4.708 eV/atom.

***

Material: V2CdAs2
Method: DFT, PBE
State: relaxed

a b c (Å): 7.2688 7.2688 3.0850
angles (deg): 90.00 90.00 90.00
Last column: magnetic moment on the atom in μB.
Sites, in units of the cell vectors:
1 V 0.1402 0.6402 0.5000  0.58
2 V 0.3598 0.1402 0.5000  0.58
3 V 0.8598 0.3598 0.5000  0.58
4 V 0.6402 0.8598 0.5000  0.58
5 As 0.1458 0.3542 0.0000  -0.04
6 As 0.6458 0.1458 0.0000  -0.04
7 As 0.8542 0.6458 0.0000  -0.04
8 As 0.3542 0.8542 0.0000  -0.04
9 Cd 0.5000 0.5000 0.0000  -0.01
10 Cd 0.0000 0.0000 0.0000  -0.01

Calculated values
As for the volume: 16.30 A^3/atom. For the size of the total moment, the calculation gives 2.4 μB per cell. The crystal system is tetragonal. The calculation puts the polymorph energy (0 for the lowest one) at 89 meV per atom. Its formation enthalpy at 0 K is -27 kJ/mol of formula units.

***

Material: HoPuPa2
Method: DFT, PBE
State: relaxed

a b c (Å): 4.7545 4.6387 4.6387
angles (deg): 90.00 90.00 90.00
Last column: magnetic moment on the atom in μB.
Sites, in units of the cell vectors:
1 Pa 0.0000 0.0000 0.5000  -0.09
2 Pa 0.0000 0.5000 0.0000  -0.09
3 Pu 0.5000 0.0000 0.0000  5.09
4 Ho 0.5000 0.5000 0.5000  0.01

Calculated values
As for the volume: 25.58 A^3/atom. For the size of the total moment, the calculation gives 5.1 μB per cell. The crystal system is tetragonal. Its formation enthalpy at 0 K is 73 kJ/mol of formula units.

***

Material: ThSc8Cd2
Method: DFT, PBE
State: relaxed

a b c (Å): 5.2038 8.1784 8.1784
angles (deg): 119.65 101.37 101.37
Sites, in units of the cell vectors:
1 Sc 0.1251 0.3147 0.0926
2 Sc 0.1251 0.0926 0.3147
3 Sc 0.8749 0.9074 0.6853
4 Sc 0.5000 0.2226 0.7774
5 Sc 0.8749 0.6853 0.9074
6 Sc 0.5000 0.7774 0.2226
7 Sc 0.2938 0.5889 0.5889
8 Sc 0.7062 0.4111 0.4111
9 Th 0.5000 0.0000 0.0000
10 Cd 0.0000 0.6925 0.3075
11 Cd 0.0000 0.3075 0.6925

Calculated values
As for the volume: 25.30 A^3/atom. For the size of the total moment, the calculation gives 0.0 μB per cell. The crystal system is monoclinic. Its formation enthalpy at 0 K is 52 kJ/mol of formula units.

***

Material: Ta2CdAsPd
Method: DFT, PBE
State: relaxed

a b c (Å): 4.7876 4.6403 4.7876
angles (deg): 90.00 90.00 90.00
Sites, in units of the cell vectors:
1 Cd 0.5000 0.5000 0.5000
2 Ta 0.0000 0.0000 0.5000
3 Ta 0.5000 0.0000 0.0000
4 Pd 0.0000 0.5000 0.0000
5 As 0.0000 0.0000 0.0000

Calculated values
As for the volume: 21.27 A^3/atom. For the size of the total moment, the calculation gives 0.0 μB per cell. The crystal system is tetragonal. Its formation enthalpy at 0 K is 303 kJ/mol of formula units.